CrSi2HgRu after structural relaxation, computed with PBE.

Structure (POSCAR):
```
CrSi2HgRu
1.0
4.7828 0.0000 0.0000
0.0000 5.0541 0.0000
0.0000 0.0000 4.7828
Si Ru Hg Cr
2 1 1 1
Cartesian
0.0000 0.0000 2.3914
2.3914 0.0000 0.0000
0.0000 2.5270 0.0000
0.0000 0.0000 0.0000
2.3914 2.5270 2.3914
```

Values from the calculation:
Symmetry   P4/mmm, No. 123
Uncorrected formation energy   2.28 eV/atom

TaCr2HgRu after structural relaxation, computed with PBE.

Structure (POSCAR):
```
TaCr2HgRu
1.0
4.6807 0.0000 0.0000
0.0000 4.8234 0.0000
0.0000 0.0000 4.6807
Cr Ta Hg Ru
2 1 1 1
Cartesian
2.3403 0.0000 0.0000
0.0000 0.0000 2.3403
0.0000 2.4117 0.0000
2.3403 2.4117 2.3403
0.0000 0.0000 0.0000
```

Values from the calculation:
Symmetry   P4/mmm, No. 123
Formation enthalpy at 0 K   1.141 eV/atom

| no. | E_tot (hartree per atom) |
| --- | --- |
| 1 | -0.137 |
| 2 | -0.257 |